(1)
# KCaTc4 (PBE, optimized geometry)
# ΔH_f (0 K), eV/atom: 0.82
# Total moment, μB/atom: 0.000
data_KCaTc4
_symmetry_space_group_name_H-M 'F -4 3 m'
_symmetry_Int_Tables_number 216
_symmetry_space_group_name_Hall 'F -4 2 3'
_cell_length_a 7.711
_cell_length_b 7.711
_cell_length_c 7.711
_cell_angle_alpha 90.00
_cell_angle_beta 90.00
_cell_angle_gamma 90.00
loop_
_atom_site_label
_atom_site_type_symbol
_atom_site_fract_x
_atom_site_fract_y
_atom_site_fract_z
K1 K 0.000 0.000 0.000
Ca1 Ca 0.250 0.250 0.250
Tc1 Tc 0.125 0.125 0.625

=====

(2)
# KCaTc2 (PBE, optimized geometry)
# ΔH_f (0 K), eV/atom: 0.49
# Total moment, μB/atom: 0.000
data_KCaTc2
_symmetry_space_group_name_H-M 'P 1 m 1'
_symmetry_Int_Tables_number 6
_symmetry_space_group_name_Hall 'P -2y'
_cell_length_a 3.237
_cell_length_b 3.238
_cell_length_c 9.925
_cell_angle_alpha 90.00
_cell_angle_beta 90.50
_cell_angle_gamma 90.00
loop_
_atom_site_label
_atom_site_type_symbol
_atom_site_fract_x
_atom_site_fract_y
_atom_site_fract_z
K1 K 0.000 0.000 0.000
Ca1 Ca 0.486 0.500 0.398
Tc1 Tc 0.494 0.500 0.726
Tc2 Tc 0.991 0.000 0.613

=====

(3)
# KCa2Tc (PBE, optimized geometry)
# ΔH_f (0 K), eV/atom: 0.51
# Total moment, μB/atom: 0.392
data_KCa2Tc
_symmetry_space_group_name_H-M 'P 1 2/m 1'
_symmetry_Int_Tables_number 10
_symmetry_space_group_name_Hall '-P 2y'
_cell_length_a 3.571
_cell_length_b 3.574
_cell_length_c 10.800
_cell_angle_alpha 90.00
_cell_angle_beta 90.47
_cell_angle_gamma 90.00
loop_
_atom_site_label
_atom_site_type_symbol
_atom_site_fract_x
_atom_site_fract_y
_atom_site_fract_z
K1 K 0.000 0.000 0.000
Ca1 Ca 0.496 0.500 0.338
Tc1 Tc 0.000 0.000 0.500

=====

(4)
# KCaTc2 (PBE, optimized geometry)
# ΔH_f (0 K), eV/atom: 1.20
# Total moment, μB/atom: 0.000
data_KCaTc2
_symmetry_space_group_name_H-M 'F -4 3 m'
_symmetry_Int_Tables_number 216
_symmetry_space_group_name_Hall 'F -4 2 3'
_cell_length_a 6.862
_cell_length_b 6.862
_cell_length_c 6.862
_cell_angle_alpha 90.00
_cell_angle_beta 90.00
_cell_angle_gamma 90.00
loop_
_atom_site_label
_atom_site_type_symbol
_atom_site_fract_x
_atom_site_fract_y
_atom_site_fract_z
K1 K 0.000 0.000 0.000
Ca1 Ca 0.250 0.250 0.250
Tc1 Tc 0.000 0.000 0.500
Tc2 Tc 0.250 0.250 0.750

=====

(5)
# KCa2Tc (PBE, optimized geometry)
# ΔH_f (0 K), eV/atom: 0.96
# Total moment, μB/atom: 0.510
data_KCa2Tc
_symmetry_space_group_name_H-M 'I -4 m 2'
_symmetry_Int_Tables_number 119
_symmetry_space_group_name_Hall 'I -4 -2'
_cell_length_a 5.041
_cell_length_b 5.041
_cell_length_c 9.908
_cell_angle_alpha 90.00
_cell_angle_beta 90.00
_cell_angle_gamma 90.00
loop_
_atom_site_label
_atom_site_type_symbol
_atom_site_fract_x
_atom_site_fract_y
_atom_site_fract_z
K1 K 0.000 0.000 0.000
Ca1 Ca 0.000 0.000 0.500
Ca2 Ca 0.000 0.500 0.250
Tc1 Tc 0.000 0.500 0.750

=====

(6)
# KCa2Tc (PBE, optimized geometry)
# ΔH_f (0 K), eV/atom: 0.77
# Total moment, μB/atom: 0.500
data_KCa2Tc
_symmetry_space_group_name_H-M 'P m m 2'
_symmetry_Int_Tables_number 25
_symmetry_space_group_name_Hall 'P 2 -2'
_cell_length_a 3.551
_cell_length_b 4.568
_cell_length_c 9.034
_cell_angle_alpha 90.00
_cell_angle_beta 90.00
_cell_angle_gamma 90.00
loop_
_atom_site_label
_atom_site_type_symbol
_atom_site_fract_x
_atom_site_fract_y
_atom_site_fract_z
K1 K 0.000 0.000 0.000
Ca1 Ca 0.000 0.000 0.386
Ca2 Ca 0.500 0.500 0.627
Tc1 Tc 0.500 0.500 0.301

=====

(7)
# KCaTc2 (PBE, optimized geometry)
# ΔH_f (0 K), eV/atom: 0.58
# Total moment, μB/atom: 0.000
data_KCaTc2
_symmetry_space_group_name_H-M 'C 1 m 1'
_symmetry_Int_Tables_number 8
_symmetry_space_group_name_Hall 'C -2y'
_cell_length_a 7.966
_cell_length_b 3.209
_cell_length_c 9.076
_cell_angle_alpha 90.00
_cell_angle_beta 93.44
_cell_angle_gamma 90.00
loop_
_atom_site_label
_atom_site_type_symbol
_atom_site_fract_x
_atom_site_fract_y
_atom_site_fract_z
K1 K 0.000 0.000 0.000
Ca1 Ca 0.283 0.500 0.421
Tc1 Tc 0.028 0.500 0.633
Tc2 Tc 0.244 0.000 0.719

=====

(8)
# KCaTc2 (PBE, optimized geometry)
# ΔH_f (0 K), eV/atom: 0.81
# Total moment, μB/atom: 0.000
data_KCaTc2
_symmetry_space_group_name_H-M 'C 1 2/m 1'
_symmetry_Int_Tables_number 12
_symmetry_space_group_name_Hall '-C 2y'
_cell_length_a 10.939
_cell_length_b 3.473
_cell_length_c 7.333
_cell_angle_alpha 90.00
_cell_angle_beta 104.45
_cell_angle_gamma 90.00
loop_
_atom_site_label
_atom_site_type_symbol
_atom_site_fract_x
_atom_site_fract_y
_atom_site_fract_z
K1 K 0.000 0.000 0.000
Ca1 Ca 0.000 0.500 0.500
Tc1 Tc 0.246 0.500 0.397

=====

(9)
# KCaTc2 (PBE, optimized geometry)
# ΔH_f (0 K), eV/atom: 0.77
# Total moment, μB/atom: 0.000
data_KCaTc2
_symmetry_space_group_name_H-M 'I m m 2'
_symmetry_Int_Tables_number 44
_symmetry_space_group_name_Hall 'I 2 -2'
_cell_length_a 3.692
_cell_length_b 5.545
_cell_length_c 10.261
_cell_angle_alpha 90.00
_cell_angle_beta 90.00
_cell_angle_gamma 90.00
loop_
_atom_site_label
_atom_site_type_symbol
_atom_site_fract_x
_atom_site_fract_y
_atom_site_fract_z
K1 K 0.000 0.000 0.000
Ca1 Ca 0.000 0.500 0.207
Tc1 Tc 0.000 0.000 0.408
Tc2 Tc 0.000 0.500 0.775

=====

(10)
# KCaTc (PBE, optimized geometry)
# ΔH_f (0 K), eV/atom: 1.75
# Total moment, μB/atom: 0.799
data_KCaTc
_symmetry_space_group_name_H-M 'F -4 3 m'
_symmetry_Int_Tables_number 216
_symmetry_space_group_name_Hall 'F -4 2 3'
_cell_length_a 7.357
_cell_length_b 7.357
_cell_length_c 7.357
_cell_angle_alpha 90.00
_cell_angle_beta 90.00
_cell_angle_gamma 90.00
loop_
_atom_site_label
_atom_site_type_symbol
_atom_site_fract_x
_atom_site_fract_y
_atom_site_fract_z
K1 K 0.000 0.000 0.000
Ca1 Ca 0.250 0.250 0.250
Tc1 Tc 0.250 0.250 0.750

=====

(11)
# KCaTc (PBE, optimized geometry)
# ΔH_f (0 K), eV/atom: 1.07
# Total moment, μB/atom: 0.223
data_KCaTc
_symmetry_space_group_name_H-M 'I m m 2'
_symmetry_Int_Tables_number 44
_symmetry_space_group_name_Hall 'I 2 -2'
_cell_length_a 2.905
_cell_length_b 4.799
_cell_length_c 12.596
_cell_angle_alpha 90.00
_cell_angle_beta 90.00
_cell_angle_gamma 90.00
loop_
_atom_site_label
_atom_site_type_symbol
_atom_site_fract_x
_atom_site_fract_y
_atom_site_fract_z
K1 K 0.000 0.000 0.000
Ca1 Ca 0.000 0.000 0.724
Tc1 Tc 0.000 0.000 0.308

=====

(12)
# KCa2Tc (PBE, optimized geometry)
# ΔH_f (0 K), eV/atom: 0.96
# Total moment, μB/atom: 0.523
data_KCa2Tc
_symmetry_space_group_name_H-M 'F -4 3 m'
_symmetry_Int_Tables_number 216
_symmetry_space_group_name_Hall 'F -4 2 3'
_cell_length_a 7.959
_cell_length_b 7.959
_cell_length_c 7.959
_cell_angle_alpha 90.00
_cell_angle_beta 90.00
_cell_angle_gamma 90.00
loop_
_atom_site_label
_atom_site_type_symbol
_atom_site_fract_x
_atom_site_fract_y
_atom_site_fract_z
K1 K 0.000 0.000 0.000
Ca1 Ca 0.000 0.000 0.500
Ca2 Ca 0.250 0.250 0.750
Tc1 Tc 0.250 0.250 0.250

=====

(13)
# KCaTc (PBE, optimized geometry)
# ΔH_f (0 K), eV/atom: 0.98
# Total moment, μB/atom: 0.709
data_KCaTc
_symmetry_space_group_name_H-M 'I 4 m m'
_symmetry_Int_Tables_number 107
_symmetry_space_group_name_Hall 'I 4 -2'
_cell_length_a 3.345
_cell_length_b 3.345
_cell_length_c 16.729
_cell_angle_alpha 90.00
_cell_angle_beta 90.00
_cell_angle_gamma 90.00
loop_
_atom_site_label
_atom_site_type_symbol
_atom_site_fract_x
_atom_site_fract_y
_atom_site_fract_z
K1 K 0.000 0.000 0.000
Ca1 Ca 0.000 0.000 0.264
Tc1 Tc 0.000 0.000 0.653

=====

(14)
# KCaTc2 (PBE, optimized geometry)
# ΔH_f (0 K), eV/atom: 1.71
# Total moment, μB/atom: 1.396
data_KCaTc2
_symmetry_space_group_name_H-M 'F m -3 m'
_symmetry_Int_Tables_number 225
_symmetry_space_group_name_Hall '-F 4 2 3'
_cell_length_a 7.338
_cell_length_b 7.338
_cell_length_c 7.338
_cell_angle_alpha 90.00
_cell_angle_beta 90.00
_cell_angle_gamma 90.00
loop_
_atom_site_label
_atom_site_type_symbol
_atom_site_fract_x
_atom_site_fract_y
_atom_site_fract_z
K1 K 0.000 0.000 0.000
Ca1 Ca 0.000 0.000 0.500
Tc1 Tc 0.250 0.250 0.250

=====

(15)
# KCaTc2 (PBE, optimized geometry)
# ΔH_f (0 K), eV/atom: 1.14
# Total moment, μB/atom: 0.000
data_KCaTc2
_symmetry_space_group_name_H-M 'P 4/m m m'
_symmetry_Int_Tables_number 123
_symmetry_space_group_name_Hall '-P 4 2'
_cell_length_a 3.833
_cell_length_b 3.833
_cell_length_c 5.361
_cell_angle_alpha 90.00
_cell_angle_beta 90.00
_cell_angle_gamma 90.00
loop_
_atom_site_label
_atom_site_type_symbol
_atom_site_fract_x
_atom_site_fract_y
_atom_site_fract_z
K1 K 0.000 0.000 0.000
Ca1 Ca 0.500 0.500 0.000
Tc1 Tc 0.000 0.500 0.500

=====

(16)
# KCaTc2 (PBE, optimized geometry)
# ΔH_f (0 K), eV/atom: 1.13
# Total moment, μB/atom: 0.000
data_KCaTc2
_symmetry_space_group_name_H-M 'C 1 2/m 1'
_symmetry_Int_Tables_number 12
_symmetry_space_group_name_Hall '-C 2y'
_cell_length_a 5.335
_cell_length_b 10.760
_cell_length_c 2.754
_cell_angle_alpha 90.00
_cell_angle_beta 90.09
_cell_angle_gamma 90.00
loop_
_atom_site_label
_atom_site_type_symbol
_atom_site_fract_x
_atom_site_fract_y
_atom_site_fract_z
K1 K 0.000 0.000 0.000
Ca1 Ca 0.000 0.500 0.000
Tc1 Tc 0.250 0.250 0.500

=====

(17)
# KCaTc2 (PBE, optimized geometry)
# ΔH_f (0 K), eV/atom: 0.84
# Total moment, μB/atom: 0.000
data_KCaTc2
_symmetry_space_group_name_H-M 'P 1 2/m 1'
_symmetry_Int_Tables_number 10
_symmetry_space_group_name_Hall '-P 2y'
_cell_length_a 2.796
_cell_length_b 5.125
_cell_length_c 7.289
_cell_angle_alpha 90.00
_cell_angle_beta 90.30
_cell_angle_gamma 90.00
loop_
_atom_site_label
_atom_site_type_symbol
_atom_site_fract_x
_atom_site_fract_y
_atom_site_fract_z
K1 K 0.000 0.000 0.000
Ca1 Ca 0.000 0.000 0.500
Tc1 Tc 0.500 0.500 0.347

=====

(18)
# KCaTc2 (PBE, optimized geometry)
# ΔH_f (0 K), eV/atom: 1.02
# Total moment, μB/atom: 0.000
data_KCaTc2
_symmetry_space_group_name_H-M 'C m m m'
_symmetry_Int_Tables_number 65
_symmetry_space_group_name_Hall '-C 2 2'
_cell_length_a 3.846
_cell_length_b 3.855
_cell_length_c 10.886
_cell_angle_alpha 90.00
_cell_angle_beta 90.00
_cell_angle_gamma 90.00
loop_
_atom_site_label
_atom_site_type_symbol
_atom_site_fract_x
_atom_site_fract_y
_atom_site_fract_z
K1 K 0.000 0.000 0.000
Ca1 Ca 0.000 0.000 0.500
Tc1 Tc 0.000 0.500 0.271

=====

(19)
# KCaTc2 (PBE, optimized geometry)
# ΔH_f (0 K), eV/atom: 1.13
# Total moment, μB/atom: 0.000
data_KCaTc2
_symmetry_space_group_name_H-M 'I 4/m m m'
_symmetry_Int_Tables_number 139
_symmetry_space_group_name_Hall '-I 4 2'
_cell_length_a 3.836
_cell_length_b 3.836
_cell_length_c 10.700
_cell_angle_alpha 90.00
_cell_angle_beta 90.00
_cell_angle_gamma 90.00
loop_
_atom_site_label
_atom_site_type_symbol
_atom_site_fract_x
_atom_site_fract_y
_atom_site_fract_z
K1 K 0.000 0.000 0.000
Ca1 Ca 0.000 0.000 0.500
Tc1 Tc 0.000 0.500 0.250

=====

(20)
# K3CaTc (PBE, optimized geometry)
# ΔH_f (0 K), eV/atom: 1.58
# Total moment, μB/atom: 0.798
data_K3CaTc
_symmetry_space_group_name_H-M 'P m -3 m'
_symmetry_Int_Tables_number 221
_symmetry_space_group_name_Hall '-P 4 2 3'
_cell_length_a 7.259
_cell_length_b 7.259
_cell_length_c 7.259
_cell_angle_alpha 90.00
_cell_angle_beta 90.00
_cell_angle_gamma 90.00
loop_
_atom_site_label
_atom_site_type_symbol
_atom_site_fract_x
_atom_site_fract_y
_atom_site_fract_z
K1 K 0.000 0.000 0.500
Ca1 Ca 0.000 0.000 0.000
Tc1 Tc 0.500 0.500 0.500